Entry from the Alexandria database: Tb3Si2Pt after structural relaxation (PBE).

Unit cell a=4.243 b=11.424 c=11.482 alpha=90.00 beta=90.00 gamma=90.00
Sites, in units of the cell vectors:
Tb 0.750 0.192 0.291
Si 0.250 0.810 0.979
Si 0.250 0.690 0.479
Pt 0.250 0.367 0.630
Tb 0.750 0.623 0.943
Tb 0.250 0.061 0.881
Si 0.750 0.310 0.521
Pt 0.750 0.633 0.370
Tb 0.250 0.123 0.557
Si 0.750 0.999 0.692
Tb 0.750 0.939 0.119
Si 0.250 0.001 0.308
Si 0.750 0.190 0.021
Pt 0.750 0.867 0.870
Pt 0.250 0.133 0.130
Tb 0.250 0.692 0.209
Tb 0.250 0.377 0.057
Tb 0.250 0.808 0.709
Tb 0.250 0.439 0.381
Tb 0.750 0.877 0.443
Tb 0.750 0.561 0.619
Tb 0.750 0.308 0.791
Si 0.750 0.501 0.192
Si 0.250 0.499 0.808

Output
* formation energy without anion corrections: -5.5 eV/f.u.